# La3SmTh2Sb6 (PBE, optimized geometry)
data_La3SmTh2Sb6
_symmetry_space_group_name_H-M 'C 1 2/m 1'
_symmetry_Int_Tables_number 12
_cell_length_a 7.8813
_cell_length_b 13.6648
_cell_length_c 7.9078
_cell_angle_alpha 90.00
_cell_angle_beta 109.41
_cell_angle_gamma 90.00
loop_
_symmetry_equiv_pos_as_xyz
'x,y,z'
'-x,-y,-z'
'-x,y,-z'
'x,-y,z'
'x+1/2,y+1/2,z'
'-x+1/2,-y+1/2,-z'
'-x+1/2,y+1/2,-z'
'x+1/2,-y+1/2,z'
loop_
_atom_site_label
_atom_site_fract_x
_atom_site_fract_y
_atom_site_fract_z
La1 0.0000 0.0000 0.0000
La2 0.0000 0.3332 0.0000
Sm1 0.0000 0.5000 0.5000
Th1 0.0000 0.1665 0.5000
Sb1 0.2472 0.3335 0.7425
Sb2 0.2482 0.0000 0.7432
# Fermi-level density of states = 0.27 states/eV per atom
# VASP energy = -6.0835 eV per atom
# E_form (uncorrected) = -1.161 eV/atom